1.
A relaxed MgZnH12C4O12 crystal, computed with PBE.

SG = P2_1/c, No. 14

Lattice parameters (Å, degrees): 8.5903 7.0420 9.1544 90.00 97.72 90.00
With the nearest neighbours (Å) after each atom.
Sites, in units of the cell vectors:
Mg 0.0000 0.0000 0.0000  6 O 2.03-2.12
Mg 0.0000 0.5000 0.5000  6 O 2.03-2.12
Zn 0.5000 0.0000 0.5000  6 O 2.05-2.13
Zn 0.5000 0.5000 0.0000  6 O 2.05-2.13
H 0.0312 0.1533 0.2817  1 O 1.00
H 0.0312 0.3467 0.7817  1 O 1.00
H 0.1721 0.0306 0.6086  1 C 1.10
H 0.1721 0.4694 0.1086  1 C 1.10
H 0.1992 0.0960 0.2392  1 O 0.99
H 0.1992 0.4040 0.7392  1 O 0.99
H 0.2654 0.6047 0.4480  1 O 1.00
H 0.2654 0.8953 0.9480  1 O 1.00
H 0.2879 0.1164 0.9860  1 O 1.00
H 0.2879 0.3836 0.4860  1 O 1.00
H 0.4309 0.7092 0.7244  1 C 1.10
H 0.4309 0.7908 0.2244  1 C 1.10
H 0.5691 0.2092 0.7756  1 C 1.10
H 0.5691 0.2908 0.2756  1 C 1.10
H 0.7121 0.6164 0.5140  1 O 1.00
H 0.7121 0.8836 0.0140  1 O 1.00
H 0.7346 0.1047 0.0520  1 O 1.00
H 0.7346 0.3953 0.5520  1 O 1.00
H 0.8008 0.5960 0.2608  1 O 0.99
H 0.8008 0.9040 0.7608  1 O 0.99
H 0.8279 0.5306 0.8914  1 C 1.10
H 0.8279 0.9694 0.3914  1 C 1.10
H 0.9688 0.6533 0.2183  1 O 1.00
H 0.9688 0.8467 0.7183  1 O 1.00
C 0.1739 0.6145 0.0631  1 H 1.10
C 0.1739 0.8855 0.5631  1 H 1.10
C 0.4612 0.2211 0.2233  1 H 1.10
C 0.4612 0.2789 0.7233  1 H 1.10
C 0.5388 0.7211 0.2767  1 H 1.10
C 0.5388 0.7789 0.7767  1 H 1.10
C 0.8261 0.1145 0.4369  1 H 1.10
C 0.8261 0.3855 0.9369  1 H 1.10
O 0.0597 0.7229 0.0780  1 C 1.27
O 0.0597 0.7771 0.5780  1 C 1.27
O 0.0871 0.1105 0.1989  2 H 0.99-1.00
O 0.0871 0.3895 0.6989  2 H 0.99-1.00
O 0.2190 0.0239 0.9258  2 H 1.00
O 0.2190 0.4761 0.4258  2 H 1.00
O 0.2914 0.6636 0.0000  1 C 1.28
O 0.2914 0.8364 0.5000  1 C 1.28
O 0.3976 0.0953 0.2943  1 C 1.27
O 0.3976 0.4047 0.7943  1 C 1.27
O 0.4048 0.2295 0.5936  1 C 1.27
O 0.4048 0.2705 0.0936  1 C 1.27
O 0.5952 0.7295 0.9064  1 C 1.27
O 0.5952 0.7705 0.4064  1 C 1.27
O 0.6024 0.5953 0.2057  1 C 1.27
O 0.6024 0.9047 0.7057  1 C 1.27
O 0.7086 0.1636 0.5000  1 C 1.28
O 0.7086 0.3364 0.0000  1 C 1.28
O 0.7810 0.5239 0.5742  2 H 1.00
O 0.7810 0.9761 0.0742  2 H 1.00
O 0.9129 0.6105 0.3011  2 H 0.99-1.00
O 0.9129 0.8895 0.8011  2 H 0.99-1.00
O 0.9403 0.2229 0.4220  1 C 1.27
O 0.9403 0.2771 0.9220  1 C 1.27



2.
A relaxed DyEr2TmMg2 crystal, computed with PBE.

SG = Amm2, No. 38

Lattice parameters (Å, degrees): 5.4218 8.7368 8.7368 23.95 90.00 90.00
With the nearest neighbours (Å) after each atom.
Sites, in units of the cell vectors:
Dy 0.0000 0.0000 0.0000  6 Mg 3.27-3.30, 4 Er 3.54-3.57, 2 Dy 3.63
Er 0.0000 0.6799 0.6799  2 Mg 3.30, 6 Er 3.36-3.63, 2 Tm 3.53, 2 Dy 3.57
Er 0.5000 0.1328 0.1328  2 Mg 3.30, 6 Er 3.36-3.63, 2 Dy 3.54, 2 Tm 3.56
Tm 0.5000 0.8124 0.8124  6 Mg 3.27-3.30, 4 Er 3.53-3.56, 2 Tm 3.63
Mg 0.0000 0.3409 0.3409  2 Dy 3.27, 2 Er 3.30, 4 Tm 3.30, 4 Mg 3.51-3.63
Mg 0.5000 0.4714 0.4714  2 Tm 3.27, 4 Dy 3.30, 2 Er 3.30, 4 Mg 3.51-3.63



3.
A relaxed Er2Ga2Ir3Pd crystal, computed with PBE.

SG = P3m1, No. 156

Lattice parameters (Å, degrees): 4.3336 4.3336 8.9927 90.00 90.00 120.00
With the nearest neighbours (Å) after each atom.
Sites, in units of the cell vectors:
Er 0.0000 0.0000 0.0000  7 Ir 2.89-2.96, 1 Pd 3.02
Er 0.3333 0.6667 0.5036  3 Pd 2.92, 5 Ir 2.92-3.08
Ga 0.6667 0.3333 0.2345  3 Ir 2.59, 3 Pd 2.66
Ga 0.6667 0.3333 0.7471  6 Ir 2.59-2.63
Ir 0.0000 0.0000 0.6712  3 Ga 2.59
Ir 0.3333 0.6667 0.1606  3 Ga 2.59, 3 Er 2.89
Ir 0.3333 0.6667 0.8372  3 Ga 2.63, 3 Er 2.90, 4 Ir 2.91
Pd 0.0000 0.0000 0.3361  3 Ga 2.66, 3 Er 2.92, 3 Ir 2.96



4.
A relaxed BiMo4AuC2 crystal, computed with PBE.

SG = P-6m2, No. 187

Lattice parameters (Å, degrees): 3.1794 3.1794 13.8839 90.00 90.00 120.00
With the nearest neighbours (Å) after each atom.
Sites, in units of the cell vectors:
Bi 0.0000 0.0000 0.0000  6 Mo 3.14, 6 Bi 3.18
Mo 0.0000 0.0000 0.3388  3 C 2.14
Mo 0.0000 0.0000 0.6612  3 C 2.14
Mo 0.6667 0.3333 0.1833  3 C 2.12
Mo 0.6667 0.3333 0.8167  3 C 2.12
Au 0.6667 0.3333 0.5000  6 Mo 2.89, 6 Au 3.18
C 0.3333 0.6667 0.2591  6 Mo 2.12-2.14
C 0.3333 0.6667 0.7409  6 Mo 2.12-2.14



5.
A relaxed PmPrNd crystal, computed with PBE.

relative energy among the computed polymorphs = 0.0 meV/atom
SG = F-43m, No. 216

Lattice parameters (Å, degrees): 5.5750 5.5750 5.5750 60.00 60.00 60.00
With the nearest neighbours (Å) after each atom.
Sites, in units of the cell vectors:
Pm 0.0000 0.0000 0.0000  4 Pr 3.41, 4 Nd 3.41
Pr 0.2500 0.2500 0.2500  4 Pm 3.41
Nd 0.7500 0.7500 0.7500  4 Pm 3.41



6.
A relaxed ThBeGe crystal, computed with PBE.

SG = F-43m, No. 216

Lattice parameters (Å, degrees): 4.4280 4.4280 4.4280 60.00 60.00 60.00
With the nearest neighbours (Å) after each atom.
Sites, in units of the cell vectors:
Th 0.0000 0.0000 0.0000  4 Be 2.71
Be 0.7500 0.7500 0.7500  4 Ge 2.71, 4 Th 2.71
Ge 0.5000 0.5000 0.5000  4 Be 2.71



7.
A relaxed SmErZn crystal, computed with PBE.

relative energy among the computed polymorphs = 0.0 meV/atom
SG = F-43m, No. 216

Lattice parameters (Å, degrees): 4.9655 4.9655 4.9655 60.00 60.00 60.00
With the nearest neighbours (Å) after each atom.
Sites, in units of the cell vectors:
Sm 0.0000 0.0000 0.0000  4 Zn 3.04
Er 0.5000 0.5000 0.5000  4 Zn 3.04
Zn 0.7500 0.7500 0.7500  4 Er 3.04, 4 Sm 3.04



8.
A relaxed CsGd2CuSe3S crystal, computed with PBE.

relative energy among the computed polymorphs = 0.0 meV/atom
SG = Cmcm, No. 63

Lattice parameters (Å, degrees): 7.6034 7.6034 14.3644 90.00 90.00 148.33
With the nearest neighbours (Å) after each atom.
Sites, in units of the cell vectors:
Cs 0.1018 0.8982 0.7500  2 S 3.41, 4 Se 3.54
Cs 0.8982 0.1018 0.2500  2 S 3.41, 4 Se 3.54
Gd 0.3665 0.6335 0.5667  1 S 2.74, 5 Se 2.84-3.01
Gd 0.3665 0.6335 0.9333  1 S 2.74, 5 Se 2.84-3.01
Gd 0.6335 0.3665 0.0667  1 S 2.74, 5 Se 2.84-3.01
Gd 0.6335 0.3665 0.4333  1 S 2.74, 5 Se 2.84-3.01
Cu 0.1614 0.8386 0.2500  2 S 2.37, 2 Se 2.49
Cu 0.8386 0.1614 0.7500  2 S 2.37, 2 Se 2.49
Se 0.0000 0.0000 0.0000  4 Gd 3.01
Se 0.0000 0.0000 0.5000  4 Gd 3.01
Se 0.2598 0.7402 0.1087  1 Cu 2.49
Se 0.2598 0.7402 0.3913  1 Cu 2.49
Se 0.7402 0.2598 0.6087  1 Cu 2.49
Se 0.7402 0.2598 0.8913  1 Cu 2.49
S 0.4173 0.5827 0.7500  2 Cu 2.37
S 0.5827 0.4173 0.2500  2 Cu 2.37



Number 1: DFT total energy -5.78 eV/atom. Number 2: DFT total energy -3.60 eV/atom. Number 3: DFT total energy -6.57 eV/atom. Number 4: DFT total energy -8.46 eV/atom. Number 5: DFT total energy -4.07 eV/atom. Number 6: DFT total energy -5.39 eV/atom. Number 7: DFT total energy -3.49 eV/atom. Number 8: DFT total energy -5.10 eV/atom.